[1]
# Y5S4N, optimized geometry, DFT PBE
data_Y5S4N
_cell_length_a 3.840
_cell_length_b 3.840
_cell_length_c 27.360
_cell_angle_alpha 90.00
_cell_angle_beta 90.00
_cell_angle_gamma 90.00
_space_group_name_H-M_alt 'I 4/m m m'
_space_group_IT_number 139
_space_group_name_Hall '-I 4 2'
loop_
_atom_site_label
_atom_site_type_symbol
_atom_site_fract_x
_atom_site_fract_y
_atom_site_fract_z
Y1 Y 0.000 0.000 0.000
Y2 Y 0.000 0.000 0.203
Y3 Y 0.000 0.000 0.415
S1 S 0.000 0.000 0.100
S2 S 0.000 0.000 0.305
N1 N 0.000 0.000 0.500
# E ... -7.60 eV/atom

[2]
# IrCSe2N, optimized geometry, DFT PBE
data_IrCSe2N
_cell_length_a 5.074
_cell_length_b 5.074
_cell_length_c 3.630
_cell_angle_alpha 90.00
_cell_angle_beta 90.00
_cell_angle_gamma 90.00
_space_group_name_H-M_alt 'P 4/m m m'
_space_group_IT_number 123
_space_group_name_Hall '-P 4 2'
loop_
_atom_site_label
_atom_site_type_symbol
_atom_site_fract_x
_atom_site_fract_y
_atom_site_fract_z
Ir1 Ir 0.000 0.000 0.000
C1 C 0.500 0.500 0.500
Se1 Se 0.000 0.500 0.000
N1 N 0.000 0.000 0.500
# E ... -4.97 eV/atom

[3]
# Ca5Cu2Ir2O12, optimized geometry, DFT PBE
data_Ca5Cu2Ir2O12
_cell_length_a 6.505
_cell_length_b 6.528
_cell_length_c 6.548
_cell_angle_alpha 91.25
_cell_angle_beta 92.76
_cell_angle_gamma 90.26
_space_group_name_H-M_alt 'P 1'
_space_group_IT_number 1
loop_
_space_group_symop_operation_xyz
'x,y,z'
loop_
_atom_site_label
_atom_site_type_symbol
_atom_site_fract_x
_atom_site_fract_y
_atom_site_fract_z
Ca1 Ca 0.000 0.000 0.000
Ca2 Ca 0.139 0.857 0.477
Ca3 Ca 0.504 0.122 0.860
Ca4 Ca 0.649 0.618 0.694
Ca5 Ca 0.823 0.486 0.196
Cu1 Cu 0.208 0.481 0.759
Cu2 Cu 0.577 0.002 0.400
Ir1 Ir 0.397 0.730 0.086
Ir2 Ir 0.890 0.234 0.596
O1 O 0.109 0.690 0.156
O2 O 0.177 0.182 0.710
O3 O 0.299 0.773 0.789
O4 O 0.364 0.021 0.180
O5 O 0.429 0.451 0.967
O6 O 0.504 0.711 0.376
O7 O 0.602 0.284 0.510
O8 O 0.682 0.795 0.014
O9 O 0.789 0.949 0.638
O10 O 0.822 0.306 0.886
O11 O 0.945 0.151 0.315
O12 O 0.977 0.529 0.556
# E ... -6.28 eV/atom

[4]
# NaCaCdCu, optimized geometry, DFT PBE
data_NaCaCdCu
_cell_length_a 7.334
_cell_length_b 7.334
_cell_length_c 7.334
_cell_angle_alpha 90.00
_cell_angle_beta 90.00
_cell_angle_gamma 90.00
_space_group_name_H-M_alt 'F -4 3 m'
_space_group_IT_number 216
_space_group_name_Hall 'F -4 2 3'
loop_
_atom_site_label
_atom_site_type_symbol
_atom_site_fract_x
_atom_site_fract_y
_atom_site_fract_z
Na1 Na 0.000 0.000 0.000
Ca1 Ca 0.000 0.000 0.500
Cd1 Cd 0.250 0.250 0.750
Cu1 Cu 0.250 0.250 0.250
# E_form ... 0.02 eV/atom

[5]
# NaNiAs2Os, optimized geometry, DFT PBE
data_NaNiAs2Os
_cell_length_a 4.754
_cell_length_b 4.754
_cell_length_c 4.130
_cell_angle_alpha 90.00
_cell_angle_beta 90.00
_cell_angle_gamma 90.00
_space_group_name_H-M_alt 'P 4/m m m'
_space_group_IT_number 123
_space_group_name_Hall '-P 4 2'
loop_
_atom_site_label
_atom_site_type_symbol
_atom_site_fract_x
_atom_site_fract_y
_atom_site_fract_z
Na1 Na 0.000 0.000 0.000
Ni1 Ni 0.000 0.000 0.500
As1 As 0.000 0.500 0.000
Os1 Os 0.500 0.500 0.500
# E_form ... 1.89 eV/atom

[6]
# YCdWBr2, optimized geometry, DFT PBE
data_YCdWBr2
_cell_length_a 5.406
_cell_length_b 5.406
_cell_length_c 6.490
_cell_angle_alpha 90.00
_cell_angle_beta 90.00
_cell_angle_gamma 90.00
_space_group_name_H-M_alt 'P 4/m m m'
_space_group_IT_number 123
_space_group_name_Hall '-P 4 2'
loop_
_atom_site_label
_atom_site_type_symbol
_atom_site_fract_x
_atom_site_fract_y
_atom_site_fract_z
Y1 Y 0.000 0.000 0.000
Cd1 Cd 0.000 0.000 0.500
W1 W 0.500 0.500 0.500
Br1 Br 0.000 0.500 0.000
# E ... -4.03 eV/atom

[7]
# Ba3Nb2O8, optimized geometry, DFT PBE
data_Ba3Nb2O8
_cell_length_a 6.1713
_cell_length_b 6.1713
_cell_length_c 21.5658
_cell_angle_alpha 90.00
_cell_angle_beta 90.00
_cell_angle_gamma 120.00
_space_group_name_H-M_alt 'R -3 m'
_space_group_IT_number 166
_space_group_name_Hall '-R 3 2"'
loop_
_atom_site_label
_atom_site_type_symbol
_atom_site_fract_x
_atom_site_fract_y
_atom_site_fract_z
Ba1 Ba 0.0000 0.0000 0.0000
Ba2 Ba 0.0000 0.0000 0.1992
Nb1 Nb 0.0000 0.0000 0.4060
O1 O 0.0000 0.0000 0.3196
O2 O 0.0005 0.5002 0.2321
# E ... -7.88 eV/atom

[8]
# MgPdO3, optimized geometry, DFT PBE
data_MgPdO3
_cell_length_a 5.3308
_cell_length_b 5.3308
_cell_length_c 2.8484
_cell_angle_alpha 90.00
_cell_angle_beta 90.00
_cell_angle_gamma 120.00
_space_group_name_H-M_alt 'P -6'
_space_group_IT_number 174
loop_
_space_group_symop_operation_xyz
'x,y,z'
'-x+y,-x,-z'
'-y,x-y,z'
'x,y,-z'
'-x+y,-x,z'
'-y,x-y,-z'
loop_
_atom_site_label
_atom_site_type_symbol
_atom_site_fract_x
_atom_site_fract_y
_atom_site_fract_z
Mg1 Mg 0.0000 0.0000 0.0000
Pd1 Pd 0.6667 0.3333 0.0000
O1 O 0.3436 0.1333 0.5000
# E ... -5.15 eV/atom

[9]
# GdZrCdGa, optimized geometry, DFT PBE
data_GdZrCdGa
_cell_length_a 7.123
_cell_length_b 7.123
_cell_length_c 7.123
_cell_angle_alpha 90.00
_cell_angle_beta 90.00
_cell_angle_gamma 90.00
_space_group_name_H-M_alt 'F -4 3 m'
_space_group_IT_number 216
_space_group_name_Hall 'F -4 2 3'
loop_
_atom_site_label
_atom_site_type_symbol
_atom_site_fract_x
_atom_site_fract_y
_atom_site_fract_z
Gd1 Gd 0.000 0.000 0.000
Zr1 Zr 0.000 0.000 0.500
Cd1 Cd 0.250 0.250 0.250
Ga1 Ga 0.250 0.250 0.750
# E_form ... -0.29 eV/atom

[10]
# CaSn3Ru, optimized geometry, DFT PBE
data_CaSn3Ru
_cell_length_a 5.160
_cell_length_b 5.160
_cell_length_c 5.160
_cell_angle_alpha 90.00
_cell_angle_beta 90.00
_cell_angle_gamma 90.00
_space_group_name_H-M_alt 'P m -3 m'
_space_group_IT_number 221
_space_group_name_Hall '-P 4 2 3'
loop_
_atom_site_label
_atom_site_type_symbol
_atom_site_fract_x
_atom_site_fract_y
_atom_site_fract_z
Ca1 Ca 0.000 0.000 0.000
Sn1 Sn 0.000 0.500 0.500
Ru1 Ru 0.500 0.500 0.500
# E_form ... -0.03 eV/atom

[11]
# SiPdSN2, optimized geometry, DFT PBE
data_SiPdSN2
_cell_length_a 3.942
_cell_length_b 3.942
_cell_length_c 5.068
_cell_angle_alpha 90.00
_cell_angle_beta 90.00
_cell_angle_gamma 90.00
_space_group_name_H-M_alt 'P 4/m m m'
_space_group_IT_number 123
_space_group_name_Hall '-P 4 2'
loop_
_atom_site_label
_atom_site_type_symbol
_atom_site_fract_x
_atom_site_fract_y
_atom_site_fract_z
Si1 Si 0.000 0.000 0.000
Pd1 Pd 0.500 0.500 0.500
S1 S 0.500 0.500 0.000
N1 N 0.000 0.500 0.500
# E ... -4.76 eV/atom

[12]
# SmMg3Pb3, optimized geometry, DFT PBE
data_SmMg3Pb3
_cell_length_a 7.834
_cell_length_b 7.834
_cell_length_c 7.834
_cell_angle_alpha 90.00
_cell_angle_beta 90.00
_cell_angle_gamma 90.00
_space_group_name_H-M_alt 'P m -3 n'
_space_group_IT_number 223
_space_group_name_Hall '-P 4n 2 3'
loop_
_atom_site_label
_atom_site_type_symbol
_atom_site_fract_x
_atom_site_fract_y
_atom_site_fract_z
Sm1 Sm 0.000 0.000 0.000
Mg1 Mg 0.000 0.250 0.500
Pb1 Pb 0.000 0.500 0.250
# E_form ... 0.42 eV/atom